Entry 1:
# Nd2SmAgSe5 | Alexandria via LeMat-Bulk | GGA-PBE | relaxed
data_Nd2SmAgSe5
_chemical_formula_sum 'Nd8 Sm4 Ag4 Se20'
_symmetry_space_group_name_H-M 'C m c 21'
_symmetry_Int_Tables_number 36
_cell_length_a 4.178
_cell_length_b 17.638
_cell_length_c 12.593
_cell_angle_alpha 90.00
_cell_angle_beta 90.00
_cell_angle_gamma 90.00
loop_
_symmetry_equiv_pos_as_xyz
'x,y,z'
'-x,-y,z+1/2'
'-x,y,z'
'x,-y,z+1/2'
'x+1/2,y+1/2,z'
'-x+1/2,-y+1/2,z+1/2'
'-x+1/2,y+1/2,z'
'x+1/2,-y+1/2,z+1/2'
loop_
_atom_site_label
_atom_site_fract_x
_atom_site_fract_y
_atom_site_fract_z
_atom_site_occupancy
Nd1 0.000 0.110 0.000 1
Nd2 0.000 0.124 0.620 1
Sm1 0.000 0.196 0.322 1
Ag1 0.000 0.444 0.775 1
Se1 0.000 0.044 0.395 1
Se2 0.000 0.287 0.985 1
Se3 0.000 0.308 0.656 1
Se4 0.000 0.361 0.315 1
Se5 0.000 0.498 0.088 1
# Formation energy (no corrections) (kcal/mol of atoms): -35.52



Entry 2:
# Nd2Ag3SnSe6 | Alexandria via LeMat-Bulk | GGA-PBE | relaxed
data_Nd2Ag3SnSe6
_chemical_formula_sum 'Nd4 Ag6 Sn2 Se12'
_symmetry_space_group_name_H-M 'C 1 2/m 1'
_symmetry_Int_Tables_number 12
_cell_length_a 18.243
_cell_length_b 4.200
_cell_length_c 7.979
_cell_angle_alpha 90.00
_cell_angle_beta 98.67
_cell_angle_gamma 90.00
loop_
_symmetry_equiv_pos_as_xyz
'x,y,z'
'-x,-y,-z'
'-x,y,-z'
'x,-y,z'
'x+1/2,y+1/2,z'
'-x+1/2,-y+1/2,-z'
'-x+1/2,y+1/2,-z'
'x+1/2,-y+1/2,z'
loop_
_atom_site_label
_atom_site_fract_x
_atom_site_fract_y
_atom_site_fract_z
_atom_site_occupancy
Nd1 0.168 0.000 0.321 1
Ag1 0.000 0.500 0.500 1
Ag2 0.185 0.000 0.816 1
Sn1 0.000 0.500 0.000 1
Se1 0.001 0.000 0.257 1
Se2 0.162 0.500 0.058 1
Se3 0.166 0.500 0.582 1
# Formation energy (no corrections) (kcal/mol of atoms): -19.51



Entry 3:
# Nd2AgSn3Se6 | Alexandria via LeMat-Bulk | GGA-PBE | relaxed
data_Nd2AgSn3Se6
_chemical_formula_sum 'Nd4 Ag2 Sn6 Se12'
_symmetry_space_group_name_H-M 'C 1 2/m 1'
_symmetry_Int_Tables_number 12
_cell_length_a 18.873
_cell_length_b 4.326
_cell_length_c 8.419
_cell_angle_alpha 90.00
_cell_angle_beta 105.04
_cell_angle_gamma 90.00
loop_
_symmetry_equiv_pos_as_xyz
'x,y,z'
'-x,-y,-z'
'-x,y,-z'
'x,-y,z'
'x+1/2,y+1/2,z'
'-x+1/2,-y+1/2,-z'
'-x+1/2,y+1/2,-z'
'x+1/2,-y+1/2,z'
loop_
_atom_site_label
_atom_site_fract_x
_atom_site_fract_y
_atom_site_fract_z
_atom_site_occupancy
Nd1 0.163 0.000 0.321 1
Ag1 0.000 0.500 0.000 1
Sn1 0.000 0.500 0.500 1
Sn2 0.162 0.000 0.843 1
Se1 0.003 0.000 0.240 1
Se2 0.169 0.500 0.572 1
Se3 0.174 0.500 0.082 1
# Formation energy (no corrections) (kcal/mol of atoms): -19.67



Entry 4:
# NdAgSnSe3 | Alexandria via LeMat-Bulk | GGA-PBE | relaxed
data_NdAgSnSe3
_chemical_formula_sum 'Nd2 Ag2 Sn2 Se6'
_symmetry_space_group_name_H-M 'P 1 21/m 1'
_symmetry_Int_Tables_number 11
_cell_length_a 8.716
_cell_length_b 4.082
_cell_length_c 9.297
_cell_angle_alpha 90.00
_cell_angle_beta 100.06
_cell_angle_gamma 90.00
loop_
_symmetry_equiv_pos_as_xyz
'x,y,z'
'-x,-y,-z'
'-x,y+1/2,-z'
'x,-y+1/2,z'
loop_
_atom_site_label
_atom_site_fract_x
_atom_site_fract_y
_atom_site_fract_z
_atom_site_occupancy
Nd1 0.168 0.250 0.224 1
Ag1 0.093 0.250 0.583 1
Sn1 0.341 0.750 0.836 1
Se1 0.090 0.250 0.875 1
Se2 0.241 0.750 0.468 1
Se3 0.398 0.750 0.143 1
# Formation energy (no corrections) (kcal/mol of atoms): -21.29



Entry 5:
# Nd2AgSnSe5 | Alexandria via LeMat-Bulk | GGA-PBE | relaxed
data_Nd2AgSnSe5
_chemical_formula_sum 'Nd8 Ag4 Sn4 Se20'
_symmetry_space_group_name_H-M 'C m c 21'
_symmetry_Int_Tables_number 36
_cell_length_a 4.106
_cell_length_b 17.671
_cell_length_c 12.692
_cell_angle_alpha 90.00
_cell_angle_beta 90.00
_cell_angle_gamma 90.00
loop_
_symmetry_equiv_pos_as_xyz
'x,y,z'
'-x,-y,z+1/2'
'-x,y,z'
'x,-y,z+1/2'
'x+1/2,y+1/2,z'
'-x+1/2,-y+1/2,z+1/2'
'-x+1/2,y+1/2,z'
'x+1/2,-y+1/2,z+1/2'
loop_
_atom_site_label
_atom_site_fract_x
_atom_site_fract_y
_atom_site_fract_z
_atom_site_occupancy
Nd1 0.000 0.116 0.000 1
Nd2 0.000 0.123 0.619 1
Ag1 0.000 0.491 0.797 1
Sn1 0.000 0.190 0.316 1
Se1 0.000 0.045 0.405 1
Se2 0.000 0.289 0.979 1
Se3 0.000 0.300 0.646 1
Se4 0.000 0.352 0.313 1
Se5 0.000 0.496 0.597 1
# Formation energy (no corrections) (kcal/mol of atoms): -25.50



Entry 6:
# Sr2NdAg2Se4 | Alexandria via LeMat-Bulk | GGA-PBE | relaxed
data_Sr2NdAg2Se4
_chemical_formula_sum 'Sr4 Nd2 Ag4 Se8'
_symmetry_space_group_name_H-M 'C 1 2/m 1'
_symmetry_Int_Tables_number 12
_cell_length_a 15.869
_cell_length_b 4.138
_cell_length_c 7.945
_cell_angle_alpha 90.00
_cell_angle_beta 114.43
_cell_angle_gamma 90.00
loop_
_symmetry_equiv_pos_as_xyz
'x,y,z'
'-x,-y,-z'
'-x,y,-z'
'x,-y,z'
'x+1/2,y+1/2,z'
'-x+1/2,-y+1/2,-z'
'-x+1/2,y+1/2,-z'
'x+1/2,-y+1/2,z'
loop_
_atom_site_label
_atom_site_fract_x
_atom_site_fract_y
_atom_site_fract_z
_atom_site_occupancy
Sr1 0.135 0.000 0.083 1
Nd1 0.000 0.000 0.500 1
Ag1 0.188 0.500 0.512 1
Se1 0.016 0.500 0.236 1
Se2 0.201 0.000 0.755 1
# Formation energy (no corrections) (kcal/mol of atoms): -29.66



Entry 7:
# Tb2NdAg3Se6 | Alexandria via LeMat-Bulk | GGA-PBE | relaxed
data_Tb2NdAg3Se6
_chemical_formula_sum 'Tb4 Nd2 Ag6 Se12'
_symmetry_space_group_name_H-M 'C 1 2/m 1'
_symmetry_Int_Tables_number 12
_cell_length_a 16.243
_cell_length_b 4.262
_cell_length_c 9.885
_cell_angle_alpha 90.00
_cell_angle_beta 105.15
_cell_angle_gamma 90.00
loop_
_symmetry_equiv_pos_as_xyz
'x,y,z'
'-x,-y,-z'
'-x,y,-z'
'x,-y,z'
'x+1/2,y+1/2,z'
'-x+1/2,-y+1/2,-z'
'-x+1/2,y+1/2,-z'
'x+1/2,-y+1/2,z'
loop_
_atom_site_label
_atom_site_fract_x
_atom_site_fract_y
_atom_site_fract_z
_atom_site_occupancy
Tb1 0.163 0.000 0.338 1
Nd1 0.000 0.500 0.000 1
Ag1 0.000 0.500 0.500 1
Ag2 0.172 0.000 0.959 1
Se1 0.014 0.000 0.796 1
Se2 0.158 0.500 0.529 1
Se3 0.189 0.500 0.146 1
# Formation energy (no corrections) (kcal/mol of atoms): -27.25



Entry 8:
# Nd2TlAgSe4 | Alexandria via LeMat-Bulk | GGA-PBE | relaxed
data_Nd2TlAgSe4
_chemical_formula_sum 'Nd8 Tl4 Ag4 Se16'
_symmetry_space_group_name_H-M 'C m c m'
_symmetry_Int_Tables_number 63
_symmetry_space_group_name_Hall '-C 2c 2'
_cell_length_a 4.295
_cell_length_b 14.334
_cell_length_c 15.115
_cell_angle_alpha 90.00
_cell_angle_beta 90.00
_cell_angle_gamma 90.00
loop_
_atom_site_label
_atom_site_fract_x
_atom_site_fract_y
_atom_site_fract_z
_atom_site_occupancy
Nd1 0.000 0.132 0.068 1
Tl1 0.000 0.380 0.250 1
Ag1 0.000 0.340 0.750 1
Se1 0.000 0.051 0.250 1
Se2 0.000 0.232 0.607 1
Se3 0.000 0.500 0.000 1
# Formation energy (no corrections) (kcal/mol of atoms): -29.80



Entry 9:
# NdTm2Ag3Se6 | Alexandria via LeMat-Bulk | GGA-PBE | relaxed
data_NdTm2Ag3Se6
_chemical_formula_sum 'Nd2 Tm4 Ag6 Se12'
_symmetry_space_group_name_H-M 'C 1 2/m 1'
_symmetry_Int_Tables_number 12
_cell_length_a 16.222
_cell_length_b 4.208
_cell_length_c 9.889
_cell_angle_alpha 90.00
_cell_angle_beta 106.28
_cell_angle_gamma 90.00
loop_
_symmetry_equiv_pos_as_xyz
'x,y,z'
'-x,-y,-z'
'-x,y,-z'
'x,-y,z'
'x+1/2,y+1/2,z'
'-x+1/2,-y+1/2,-z'
'-x+1/2,y+1/2,-z'
'x+1/2,-y+1/2,z'
loop_
_atom_site_label
_atom_site_fract_x
_atom_site_fract_y
_atom_site_fract_z
_atom_site_occupancy
Nd1 0.000 0.000 0.000 1
Tm1 0.165 0.500 0.337 1
Ag1 0.000 0.000 0.500 1
Ag2 0.173 0.500 0.956 1
Se1 0.012 0.500 0.793 1
Se2 0.158 0.000 0.523 1
Se3 0.190 0.000 0.150 1
# Formation energy (no corrections) (kcal/mol of atoms): -26.97



Entry 10:
# Nd2TmAgSe5 | Alexandria via LeMat-Bulk | GGA-PBE | relaxed
data_Nd2TmAgSe5
_chemical_formula_sum 'Nd8 Tm4 Ag4 Se20'
_symmetry_space_group_name_H-M 'C m c 21'
_symmetry_Int_Tables_number 36
_cell_length_a 4.140
_cell_length_b 17.500
_cell_length_c 12.501
_cell_angle_alpha 90.00
_cell_angle_beta 90.00
_cell_angle_gamma 90.00
loop_
_symmetry_equiv_pos_as_xyz
'x,y,z'
'-x,-y,z+1/2'
'-x,y,z'
'x,-y,z+1/2'
'x+1/2,y+1/2,z'
'-x+1/2,-y+1/2,z+1/2'
'-x+1/2,y+1/2,z'
'x+1/2,-y+1/2,z+1/2'
loop_
_atom_site_label
_atom_site_fract_x
_atom_site_fract_y
_atom_site_fract_z
_atom_site_occupancy
Nd1 0.000 0.110 0.000 1
Nd2 0.000 0.126 0.619 1
Tm1 0.000 0.196 0.323 1
Ag1 0.000 0.442 0.773 1
Se1 0.000 0.047 0.393 1
Se2 0.000 0.286 0.980 1
Se3 0.000 0.305 0.661 1
Se4 0.000 0.358 0.314 1
Se5 0.000 0.498 0.087 1
# Formation energy (no corrections) (kcal/mol of atoms): -35.59



Entry 11:
# NdYAg2Se4 | Alexandria via LeMat-Bulk | GGA-PBE | relaxed
data_NdYAg2Se4
_chemical_formula_sum 'Nd1 Y1 Ag2 Se4'
_symmetry_space_group_name_H-M 'P 1 2/m 1'
_symmetry_Int_Tables_number 10
_cell_length_a 6.871
_cell_length_b 4.251
_cell_length_c 7.357
_cell_angle_alpha 90.00
_cell_angle_beta 110.72
_cell_angle_gamma 90.00
loop_
_symmetry_equiv_pos_as_xyz
'x,y,z'
'-x,-y,-z'
'-x,y,-z'
'x,-y,z'
loop_
_atom_site_label
_atom_site_fract_x
_atom_site_fract_y
_atom_site_fract_z
_atom_site_occupancy
Nd1 0.000 0.000 0.000 1
Y1 0.000 0.500 0.500 1
Ag1 0.500 0.000 0.500 1
Ag2 0.500 0.500 0.000 1
Se1 0.249 0.000 0.743 1
Se2 0.252 0.500 0.256 1
# Formation energy (no corrections) (kcal/mol of atoms): -26.76



Entry 12:
# NdY2Ag3Se6 | Alexandria via LeMat-Bulk | GGA-PBE | relaxed
data_NdY2Ag3Se6
_chemical_formula_sum 'Nd2 Y4 Ag6 Se12'
_symmetry_space_group_name_H-M 'C 1 2/m 1'
_symmetry_Int_Tables_number 12
_cell_length_a 16.257
_cell_length_b 4.251
_cell_length_c 9.906
_cell_angle_alpha 90.00
_cell_angle_beta 105.49
_cell_angle_gamma 90.00
loop_
_symmetry_equiv_pos_as_xyz
'x,y,z'
'-x,-y,-z'
'-x,y,-z'
'x,-y,z'
'x+1/2,y+1/2,z'
'-x+1/2,-y+1/2,-z'
'-x+1/2,y+1/2,-z'
'x+1/2,-y+1/2,z'
loop_
_atom_site_label
_atom_site_fract_x
_atom_site_fract_y
_atom_site_fract_z
_atom_site_occupancy
Nd1 0.000 0.000 0.000 1
Y1 0.164 0.500 0.337 1
Ag1 0.000 0.000 0.500 1
Ag2 0.172 0.500 0.957 1
Se1 0.013 0.500 0.795 1
Se2 0.158 0.000 0.527 1
Se3 0.189 0.000 0.146 1
# Formation energy (no corrections) (kcal/mol of atoms): -27.29



Going through the records in order, we get final energy values of -5.38 -4.43 -4.63 -4.60 -4.86 -4.37 -4.81 -4.88 -4.77 -5.35 -5.02 -5.11 eV/atom.